Density functional theory data (meta-GGA SCAN) for ScCu2Pt at its PBEsol-relaxed geometry.

Unit cell a=3.8080 b=3.8080 c=4.7531 alpha=113.61 beta=113.61 gamma=90.00
Closest atoms and distances in Å follow each position.
Sites, in units of the cell vectors:
Cu 0.5000 0.5000 0.0000  4 Pt 2.69, 4 Cu 2.73, 4 Sc 2.73
Sc 0.2500 0.7500 0.5000  8 Cu 2.69-2.73, 4 Pt 2.73
Cu 0.7500 0.2500 0.5000  4 Sc 2.69, 4 Cu 2.73, 4 Pt 2.73
Pt 0.0000 0.0000 0.0000  8 Cu 2.69-2.73, 4 Sc 2.73

Space group ... I-4m2 (119)
E ... -29.351 eV per atom
Formation enthalpy at 0 K ... -644 meV/atom
Magnetization ... 0.0 μB/f.u.